# 1
Below is a relaxed structure of Ac3Mg7Au4, with properties calculated at the PBE level.

a b c (Å): 4.5523 8.9996 9.5956
angles (deg): 70.53 76.28 75.35
Last column: nearest neighbours and their distance in Å.
Fractional positions:
1 Ac 0.3056 0.1851 0.2037  4 Au 3.30-3.32, 10 Mg 3.44-3.69
2 Ac 0.6944 0.8149 0.7963  4 Au 3.30-3.32, 10 Mg 3.44-3.69
3 Ac 0.0000 0.5000 0.5000  6 Au 3.38-3.49, 4 Mg 3.78
4 Mg 0.3221 0.8419 0.5138  4 Au 2.80-3.00, 1 Mg 3.12
5 Mg 0.4901 0.2204 0.7993  3 Au 2.81-2.92, 1 Mg 3.12
6 Mg 0.8375 0.3970 0.9280  3 Au 2.84-3.01, 2 Mg 3.17
7 Mg 0.6779 0.1581 0.4862  4 Au 2.80-3.00, 1 Mg 3.12
8 Mg 0.1625 0.6030 0.0720  3 Au 2.84-3.01, 2 Mg 3.17
9 Mg 0.0000 0.0000 0.0000  2 Au 2.96, 4 Mg 3.21
10 Mg 0.5099 0.7796 0.2007  3 Au 2.81-2.92, 1 Mg 3.12
11 Au 0.6588 0.4484 0.2339  5 Mg 2.81-3.01
12 Au 0.3412 0.5516 0.7661  5 Mg 2.81-3.01
13 Au 0.8844 0.8998 0.3314  6 Mg 2.80-3.00
14 Au 0.1156 0.1002 0.6686  6 Mg 2.80-3.00

**Electronic total energy**: -43.917 eV per formula unit
**Energy relative to the elements**: -522.9 meV/atom

=====

# 2
Below is a relaxed structure of AcMgAu11, with properties calculated at the PBE level.

a b c (Å): 5.6358 7.5456 7.1624
angles (deg): 81.63 66.83 68.29
Last column: nearest neighbours and their distance in Å.
Fractional positions:
1 Ac 0.0000 0.0000 0.0000  16 Au 3.34-3.58
2 Mg 0.5000 0.5000 0.0000  10 Au 2.76-2.86
3 Au 0.2899 0.2222 0.2160  1 Mg 2.76, 6 Au 2.79-3.02
4 Au 0.7101 0.7778 0.7840  1 Mg 2.76, 6 Au 2.79-3.02
5 Au 0.4941 0.7778 0.2160  1 Mg 2.76, 6 Au 2.79-3.02
6 Au 0.5059 0.2222 0.7840  1 Mg 2.76, 6 Au 2.79-3.02
7 Au 0.3539 0.6516 0.6548  1 Mg 2.86, 8 Au 2.90-3.16
8 Au 0.6461 0.3484 0.3452  1 Mg 2.86, 8 Au 2.90-3.16
9 Au 0.9913 0.3484 0.6548  1 Mg 2.86, 8 Au 2.90-3.16
10 Au 0.0087 0.6516 0.3452  1 Mg 2.86, 8 Au 2.90-3.16
11 Au 0.0000 0.5000 0.0000  2 Mg 2.82, 8 Au 2.82-2.90
12 Au 0.5000 0.0000 0.5000  10 Au 2.79-3.02
13 Au 0.0000 0.0000 0.5000  10 Au 2.79-3.02

**Electronic total energy**: -46.187 eV per formula unit
**Energy relative to the elements**: -341.0 meV/atom

=====

# 3
Below is a relaxed structure of Ac3Mg2Au9, with properties calculated at the PBE level.

a b c (Å): 4.6344 10.0565 9.0132
angles (deg): 123.91 104.90 90.00
Last column: nearest neighbours and their distance in Å.
Fractional positions:
1 Ac 0.0000 0.0000 0.0000  12 Au 3.46-3.49
2 Ac 0.2858 0.2858 0.5716  10 Au 3.32-3.67, 2 Mg 3.55
3 Ac 0.7142 0.7142 0.4284  10 Au 3.32-3.67, 2 Mg 3.55
4 Mg 0.5000 0.3182 0.0000  8 Au 2.80-2.99
5 Mg 0.5000 0.6818 0.0000  8 Au 2.80-2.99
6 Au 0.0000 0.5000 0.0000  4 Au 2.80, 4 Mg 2.95
7 Au 0.3490 0.9883 0.6980  3 Au 2.80, 1 Mg 2.80
8 Au 0.6510 0.0117 0.3020  3 Au 2.80, 1 Mg 2.80
9 Au 0.3490 0.7097 0.6980  3 Au 2.80, 1 Mg 2.80
10 Au 0.6510 0.2903 0.3020  3 Au 2.80, 1 Mg 2.80
11 Au 0.1316 0.8389 0.2631  3 Au 2.80, 2 Mg 2.99
12 Au 0.8684 0.1611 0.7369  3 Au 2.80, 2 Mg 2.99
13 Au 0.1316 0.4242 0.2631  3 Au 2.80, 2 Mg 2.99
14 Au 0.8684 0.5758 0.7369  3 Au 2.80, 2 Mg 2.99

**Electronic total energy**: -54.820 eV per formula unit
**Energy relative to the elements**: -700.7 meV/atom

=====

# 4
Below is a relaxed structure of AcMg9Au3, with properties calculated at the PBE level.

a b c (Å): 5.6545 7.6160 7.6532
angles (deg): 82.33 68.32 68.81
Last column: nearest neighbours and their distance in Å.
Fractional positions:
1 Ac 0.0000 0.0000 0.0000  14 Mg 3.50-3.81, 6 Au 3.83-3.84
2 Mg 0.7104 0.7867 0.7771  3 Au 2.85-2.91, 6 Mg 2.97-3.18
3 Mg 0.2896 0.2133 0.2229  3 Au 2.85-2.91, 6 Mg 2.97-3.18
4 Mg 0.5125 0.2133 0.7771  3 Au 2.85-2.91, 6 Mg 2.97-3.18
5 Mg 0.4875 0.7867 0.2229  3 Au 2.85-2.91, 6 Mg 2.97-3.18
6 Mg 0.6486 0.3403 0.3568  3 Au 2.96-3.12, 6 Mg 3.05-3.31
7 Mg 0.3514 0.6597 0.6432  3 Au 2.96-3.12, 6 Mg 3.05-3.31
8 Mg 0.9947 0.6597 0.3568  3 Au 2.96-3.12, 6 Mg 3.05-3.31
9 Mg 0.0053 0.3403 0.6432  3 Au 2.96-3.12, 6 Mg 3.05-3.31
10 Mg 0.0000 0.5000 0.0000  2 Au 2.83, 8 Mg 2.97-3.12
11 Au 0.5000 0.5000 0.0000  10 Mg 2.83-3.12
12 Au 0.0000 0.0000 0.5000  2 Au 2.83, 8 Mg 2.85-3.00
13 Au 0.5000 0.0000 0.5000  2 Au 2.83, 8 Mg 2.85-3.00

**Electronic total energy**: -32.949 eV per formula unit
**Energy relative to the elements**: -358.2 meV/atom

=====

# 5
Below is a relaxed structure of AcMg3Au4, with properties calculated at the PBE level.

a b c (Å): 4.6780 4.6780 9.6290
angles (deg): 75.94 75.94 60.00
Last column: nearest neighbours and their distance in Å.
Fractional positions:
1 Ac 0.0000 0.0000 0.0000  8 Au 3.27-3.56
2 Au 0.8716 0.8716 0.3852  7 Mg 2.82-2.94
3 Au 0.4000 0.4000 0.7999  4 Mg 2.77-2.85
4 Au 0.1284 0.1284 0.6148  7 Mg 2.82-2.94
5 Au 0.6000 0.6000 0.2001  4 Mg 2.77-2.85
6 Mg 0.2342 0.2342 0.2973  7 Au 2.82-2.94
7 Mg 0.7658 0.7658 0.7027  7 Au 2.82-2.94
8 Mg 0.5000 0.5000 0.5000  8 Au 2.77-2.90

**Electronic total energy**: -27.324 eV per formula unit
**Energy relative to the elements**: -665.3 meV/atom

=====

# 6
Below is a relaxed structure of AcMg11Au, with properties calculated at the PBE level.

a b c (Å): 5.7740 7.7747 7.8642
angles (deg): 82.73 68.46 69.84
Last column: nearest neighbours and their distance in Å.
Fractional positions:
1 Ac 0.0000 0.0000 0.0000  18 Mg 3.65-3.93, 2 Au 3.96
2 Mg 0.2935 0.2236 0.2116  1 Au 2.87, 6 Mg 2.99-3.20
3 Mg 0.7065 0.7764 0.7884  1 Au 2.87, 6 Mg 2.99-3.20
4 Mg 0.4949 0.7764 0.2116  1 Au 2.87, 6 Mg 2.99-3.20
5 Mg 0.5051 0.2236 0.7884  1 Au 2.87, 6 Mg 2.99-3.20
6 Mg 0.3565 0.6400 0.6520  8 Mg 3.02-3.37, 1 Au 3.11
7 Mg 0.6435 0.3600 0.3480  8 Mg 3.02-3.37, 1 Au 3.11
8 Mg 0.9915 0.3600 0.6520  8 Mg 3.02-3.37, 1 Au 3.11
9 Mg 0.0085 0.6400 0.3480  8 Mg 3.02-3.37, 1 Au 3.11
10 Mg 0.0000 0.5000 0.0000  2 Au 2.89, 8 Mg 2.99-3.09
11 Mg 0.5000 0.0000 0.5000  8 Mg 2.89-3.16
12 Mg 0.0000 0.0000 0.5000  8 Mg 2.89-3.16
13 Au 0.5000 0.5000 0.0000  10 Mg 2.87-3.11

**Electronic total energy**: -27.119 eV per formula unit
**Energy relative to the elements**: -168.7 meV/atom

=====

# 7
Below is a relaxed structure of AcMg2Au4, with properties calculated at the PBE level.

a b c (Å): 5.7155 5.8706 5.8706
angles (deg): 76.29 60.87 60.87
Last column: nearest neighbours and their distance in Å.
Fractional positions:
1 Ac 0.0000 0.0000 0.0000  4 Au 3.11
2 Mg 0.7500 0.5000 0.5000  2 Mg 2.86, 8 Au 2.99
3 Mg 0.2500 0.5000 0.5000  2 Mg 2.86, 8 Au 2.99
4 Au 0.6966 0.0000 0.6069  4 Au 2.85-3.06, 4 Mg 2.99, 1 Ac 3.11
5 Au 0.3034 0.0000 0.3931  4 Au 2.85-3.06, 4 Mg 2.99, 1 Ac 3.11
6 Au 0.3034 0.3931 0.0000  4 Au 2.85-3.06, 4 Mg 2.99, 1 Ac 3.11
7 Au 0.6966 0.6069 0.0000  4 Au 2.85-3.06, 4 Mg 2.99, 1 Ac 3.11

**Electronic total energy**: -25.350 eV per formula unit
**Energy relative to the elements**: -706.2 meV/atom

=====

# 8
Below is a relaxed structure of AcMg6Au12, with properties calculated at the PBE level.

a b c (Å): 7.7097 7.7097 7.7097
angles (deg): 105.64 105.64 105.64
Last column: nearest neighbours and their distance in Å.
Fractional positions:
1 Ac 0.0000 0.0000 0.0000  6 Au 3.17
2 Mg 0.6955 0.2854 0.2854  8 Au 2.73-2.96
3 Mg 0.2854 0.2854 0.6955  8 Au 2.73-2.96
4 Mg 0.2854 0.6955 0.2854  8 Au 2.73-2.96
5 Mg 0.7146 0.7146 0.3045  8 Au 2.73-2.96
6 Mg 0.3045 0.7146 0.7146  8 Au 2.73-2.96
7 Mg 0.7146 0.3045 0.7146  8 Au 2.73-2.96
8 Au 0.8845 0.1155 0.5000  4 Mg 2.73-2.79, 3 Au 2.84-2.85
9 Au 0.8849 0.6277 0.6277  4 Mg 2.83-2.96, 4 Au 2.85-3.16
10 Au 0.6277 0.6277 0.8849  4 Mg 2.83-2.96, 4 Au 2.85-3.16
11 Au 0.3723 0.1151 0.3723  4 Mg 2.83-2.96, 4 Au 2.85-3.16
12 Au 0.3723 0.3723 0.1151  4 Mg 2.83-2.96, 4 Au 2.85-3.16
13 Au 0.1151 0.3723 0.3723  4 Mg 2.83-2.96, 4 Au 2.85-3.16
14 Au 0.1155 0.5000 0.8845  4 Mg 2.73-2.79, 3 Au 2.84-2.85
15 Au 0.5000 0.8845 0.1155  4 Mg 2.73-2.79, 3 Au 2.84-2.85
16 Au 0.1155 0.8845 0.5000  4 Mg 2.73-2.79, 3 Au 2.84-2.85
17 Au 0.8845 0.5000 0.1155  4 Mg 2.73-2.79, 3 Au 2.84-2.85
18 Au 0.5000 0.1155 0.8845  4 Mg 2.73-2.79, 3 Au 2.84-2.85
19 Au 0.6277 0.8849 0.6277  4 Mg 2.83-2.96, 4 Au 2.85-3.16

**Electronic total energy**: -61.201 eV per formula unit
**Energy relative to the elements**: -431.4 meV/atom

=====

# 9
Below is a relaxed structure of Ac4MgAu3, with properties calculated at the PBE level.

a b c (Å): 4.2399 4.9303 12.1872
angles (deg): 90.00 90.00 90.00
Last column: nearest neighbours and their distance in Å.
Fractional positions:
1 Ac 0.5000 0.5000 0.3688  6 Au 3.31-3.38, 1 Mg 3.67
2 Ac 0.0000 0.5000 0.8490  5 Au 3.22-3.37, 2 Mg 3.40
3 Ac 0.0000 0.0000 0.1517  3 Au 3.27-3.50, 4 Mg 3.41
4 Ac 0.5000 0.0000 0.6353  7 Au 3.31-3.50
5 Mg 0.5000 0.5000 0.0674  2 Au 3.03
6 Au 0.0000 0.5000 0.5849  2 Au 3.18, 7 Ac 3.22-3.38
7 Au 0.0000 0.0000 0.4203  2 Au 3.18, 7 Ac 3.27-3.37
8 Au 0.5000 0.0000 0.9226  2 Mg 3.03, 4 Ac 3.37

**Electronic total energy**: -32.629 eV per formula unit
**Energy relative to the elements**: -596.0 meV/atom

=====

# 10
Below is a relaxed structure of Ac2Mg16Au, with properties calculated at the PBE level.

a b c (Å): 7.8493 7.8493 7.8493
angles (deg): 82.59 82.59 82.59
Last column: nearest neighbours and their distance in Å.
Fractional positions:
1 Ac 0.6699 0.6699 0.6699  1 Au 3.40, 12 Mg 3.67-3.80
2 Ac 0.3339 0.3339 0.3339  19 Mg 3.67-4.05
3 Mg 0.7059 0.0007 0.2962  9 Mg 2.97-3.31
4 Mg 0.0007 0.2962 0.7059  9 Mg 2.97-3.31
5 Mg 0.2962 0.7059 0.0007  9 Mg 2.97-3.31
6 Mg 0.0007 0.7059 0.2962  9 Mg 2.97-3.31
7 Mg 0.7059 0.2962 0.0007  9 Mg 2.97-3.31
8 Mg 0.2962 0.0007 0.7059  9 Mg 2.97-3.31
9 Mg 0.3490 0.8458 0.3490  8 Mg 3.00-3.17
10 Mg 0.8458 0.3490 0.3490  8 Mg 3.00-3.17
11 Mg 0.3490 0.3490 0.8458  8 Mg 3.00-3.17
12 Mg 0.6546 0.1577 0.6546  8 Mg 2.95-3.17, 1 Au 3.20
13 Mg 0.1577 0.6546 0.6546  8 Mg 2.95-3.17, 1 Au 3.20
14 Mg 0.6546 0.6546 0.1577  8 Mg 2.95-3.17, 1 Au 3.20
15 Mg 0.9954 0.5134 0.9954  8 Mg 2.95-3.06, 1 Au 3.02
16 Mg 0.5134 0.9954 0.9954  8 Mg 2.95-3.06, 1 Au 3.02
17 Mg 0.9954 0.9954 0.5134  8 Mg 2.95-3.06, 1 Au 3.02
18 Mg 0.0831 0.0831 0.0831  1 Au 2.90
19 Au 0.8929 0.8929 0.8929  7 Mg 2.90-3.20

**Electronic total energy**: -39.509 eV per formula unit
**Energy relative to the elements**: -131.7 meV/atom

=====

no.,magnetization (μB/f.u.)
1,0.00
2,0.00
3,0.00
4,0.00
5,0.00
6,0.00
7,0.00
8,0.00
9,0.00
10,0.00